The following is a GGA-PBE calculation of an optimized crystal structure of Sr6InAg5, from Alexandria via LeMat-Bulk.

```
Sr6InAg5
1.0
-3.100 -4.413 1.531
1.256 1.752 7.593
-7.823 3.471 4.596
Sr Ag In
6 5 1
Direct
0.832 0.580 0.337
0.832 0.083 0.337
0.500 0.747 0.000
0.500 0.253 0.000
0.168 0.917 0.663
0.168 0.420 0.663
0.662 0.163 0.675
0.333 0.333 0.334
0.000 0.500 0.000
0.667 0.667 0.666
0.338 0.837 0.325
0.000 0.000 0.000
```

=====

The following is a GGA-PBE calculation of an optimized crystal structure of SrIn3Ag2, from Alexandria via LeMat-Bulk.

```
SrIn3Ag2
1.0
-3.632 -2.741 -0.682
1.714 3.729 -8.596
6.745 -9.126 0.757
Sr In Ag
3 9 6
Direct
0.158 0.316 0.702
0.842 0.684 0.298
0.000 0.000 0.000
0.042 0.084 0.348
0.958 0.916 0.652
0.213 0.425 0.379
0.787 0.575 0.621
0.622 0.243 0.197
0.378 0.757 0.803
0.500 0.000 0.500
0.328 0.656 0.038
0.672 0.344 0.962
0.199 0.398 0.124
0.801 0.602 0.876
0.468 0.935 0.214
0.532 0.065 0.786
0.356 0.713 0.536
0.644 0.287 0.464
```

Values from the calculation:
relative energy among the computed polymorphs	0	meV/atom

=====

The following is a GGA-PBE calculation of an optimized crystal structure of SrIn6Ag2, from Alexandria via LeMat-Bulk.

```
SrIn6Ag2
1.0
4.579 0.000 0.000
0.000 4.579 0.000
0.000 0.000 11.372
Sr In Ag
1 6 2
Direct
0.000 0.000 0.000
0.000 0.500 0.278
0.500 0.000 0.278
0.000 0.500 0.722
0.500 0.000 0.722
0.500 0.500 0.500
0.000 0.000 0.500
0.500 0.500 0.120
0.500 0.500 0.880
```

Values from the calculation:
relative energy among the computed polymorphs	0	meV/atom

=====

The following is a GGA-PBE calculation of an optimized crystal structure of Sr2InAg7, from Alexandria via LeMat-Bulk.

```
Sr2InAg7
1.0
4.470 0.000 0.000
0.000 4.470 0.000
0.000 0.000 12.319
Sr In Ag
2 1 7
Direct
0.500 0.000 0.741
0.000 0.500 0.259
0.500 0.500 0.000
0.000 0.500 0.857
0.500 0.000 0.363
0.500 0.000 0.143
0.000 0.500 0.637
0.000 0.000 0.500
0.000 0.000 0.000
0.500 0.500 0.500
```

=====

So what do the calculations give for energy of formation? Going down the list: -0.290; -0.247; -0.128; -0.176 eV per atom.
So what do the calculations give for magnetic moment? Going down the list: 0.00; 0.00; 0.00; 0.00 μB/cell.